Record 1
AlBiPO2: optimized geometry, PBEsol.

a b c (Å): 3.7897 3.7897 4.8724
angles (deg): 90.00 90.00 90.00
Closest atoms and distances in Å follow each position.
Atoms (fractional coordinates):
Al: 0.0000 0.0000 0.0000  4 O 1.89
Bi: 0.5000 0.5000 0.5000  4 P 2.68
P: 0.0000 0.0000 0.5000  2 Al 2.44, 4 Bi 2.68
O: 0.0000 0.5000 0.0000  2 Al 1.89
O: 0.5000 0.0000 0.0000  2 Al 1.89

Properties
Raw total energy in eV/atom: -5.884
Density in Mg/m³: 7.09
Formation energy without anion corrections in meV/atom: -950
Space group: P4/mmm, No. 123
Magnetization in μB per formula unit: 0.00

Record 2
AlBiP2O: optimized geometry, PBEsol.

a b c (Å): 4.2587 4.2587 4.7164
angles (deg): 90.00 90.00 90.00
Closest atoms and distances in Å follow each position.
Atoms (fractional coordinates):
Al: 0.0000 0.0000 0.0000  4 Bi 3.01, 8 P 3.18
Bi: 0.5000 0.5000 0.0000  2 O 2.36
P: 0.0000 0.5000 0.5000  2 O 2.13
P: 0.5000 0.0000 0.5000  2 O 2.13
O: 0.5000 0.5000 0.5000  4 P 2.13, 2 Bi 2.36

Properties
Raw total energy in eV/atom: -4.719
Density in Mg/m³: 6.09
Formation energy without anion corrections in meV/atom: 323
Space group: P4/mmm, No. 123
Distance to the lowest polymorph of the same formula in meV/atom: 678
Magnetization in μB per formula unit: 0.00

Record 3
AlBi3Sb2O11: optimized geometry, PBEsol.

a b c (Å): 9.3940 9.4576 13.3075
angles (deg): 90.00 134.73 90.00
Closest atoms and distances in Å follow each position.
Atoms (fractional coordinates):
Al: 0.0000 0.2462 0.0000  6 O 1.90-2.00
Al: 0.0000 0.7538 0.5000  6 O 1.90-2.00
Al: 0.5111 0.2506 0.6682  6 O 1.90-1.98
Al: 0.5111 0.7494 0.1682  6 O 1.90-1.98
Bi: 0.1234 0.1307 0.6280  3 O 2.21-2.38
Bi: 0.1234 0.8693 0.1280  3 O 2.21-2.38
Bi: 0.3288 0.4936 0.2423  7 O 2.35-2.58
Bi: 0.3288 0.5064 0.7423  7 O 2.35-2.58
Bi: 0.5991 0.1091 0.3786  3 O 2.19-2.29
Bi: 0.5991 0.8909 0.8786  3 O 2.19-2.29
Bi: 0.8163 0.3639 0.6355  4 O 2.18-2.44
Bi: 0.8163 0.6361 0.1355  4 O 2.18-2.44
Bi: 0.8398 0.4078 0.3827  4 O 2.19-2.41
Bi: 0.8398 0.5922 0.8827  4 O 2.19-2.41
Bi: 0.8415 0.0130 0.7599  6 O 2.32-2.57
Bi: 0.8415 0.9870 0.2599  6 O 2.32-2.57
Sb: 0.1957 0.2484 0.3521  6 O 1.98-2.03
Sb: 0.1957 0.7516 0.8521  6 O 1.98-2.03
Sb: 0.3476 0.0899 0.0085  6 O 1.97-2.03
Sb: 0.3476 0.9101 0.5085  6 O 1.97-2.03
Sb: 0.3488 0.4095 0.0090  6 O 1.97-2.02
Sb: 0.3488 0.5905 0.5090  6 O 1.97-2.02
Sb: 0.6942 0.2522 0.0005  6 O 1.97-2.03
Sb: 0.6942 0.7478 0.5005  6 O 1.97-2.03
O: 0.0482 0.3570 0.6098  4 Bi 2.21-2.43
O: 0.0482 0.6430 0.1098  4 Bi 2.21-2.43
O: 0.1285 0.0895 0.0011  1 Al 1.90, 1 Sb 1.99
O: 0.1285 0.9105 0.5011  1 Al 1.90, 1 Sb 1.99
O: 0.1380 0.4056 0.0104  1 Al 1.93, 1 Sb 1.99
O: 0.1380 0.5944 0.5104  1 Al 1.93, 1 Sb 1.99
O: 0.1862 0.0362 0.3417  2 Sb 1.98-2.01
O: 0.1862 0.4624 0.3437  2 Sb 1.98-2.03
O: 0.1862 0.5376 0.8437  2 Sb 1.98-2.03
O: 0.1862 0.9638 0.8417  2 Sb 1.98-2.01
O: 0.2110 0.2566 0.2113  1 Sb 1.98, 1 Al 2.00
O: 0.2110 0.7434 0.7113  1 Sb 1.98, 1 Al 2.00
O: 0.2124 0.2503 0.8684  2 Sb 2.01
O: 0.2124 0.7497 0.3684  2 Sb 2.01
O: 0.2219 0.2451 0.5148  1 Al 1.94, 1 Sb 2.00
O: 0.2219 0.7549 0.0148  1 Al 1.94, 1 Sb 2.00
O: 0.4716 0.2549 0.7897  1 Al 1.90, 1 Sb 2.00
O: 0.4716 0.7451 0.2897  1 Al 1.90, 1 Sb 2.00
O: 0.4899 0.2493 0.1484  2 Sb 2.01
O: 0.4899 0.7507 0.6484  2 Sb 2.01
O: 0.4958 0.2527 0.5153  1 Al 1.94, 1 Sb 2.01
O: 0.4958 0.7473 0.0153  1 Al 1.94, 1 Sb 2.01
O: 0.5074 0.4582 0.6699  1 Al 1.96, 1 Sb 1.97
O: 0.5074 0.5418 0.1699  1 Al 1.96, 1 Sb 1.97
O: 0.5164 0.0416 0.6703  1 Sb 1.97, 1 Al 1.98
O: 0.5164 0.9584 0.1703  1 Sb 1.97, 1 Al 1.98
O: 0.5595 0.4152 0.0044  2 Sb 2.02
O: 0.5595 0.5848 0.5044  2 Sb 2.02
O: 0.5645 0.0886 0.0097  2 Sb 2.03
O: 0.5645 0.9114 0.5097  2 Sb 2.03
O: 0.6344 0.3496 0.4028  4 Bi 2.19-2.46
O: 0.6344 0.6504 0.9028  4 Bi 2.19-2.46
O: 0.7947 0.2431 0.7930  2 Al 1.91-1.96
O: 0.7947 0.7569 0.2930  2 Al 1.91-1.96
O: 0.8443 0.1101 0.9974  1 Al 1.93, 1 Sb 1.97
O: 0.8443 0.8899 0.4974  1 Al 1.93, 1 Sb 1.97
O: 0.8489 0.1540 0.4007  4 Bi 2.19-2.41
O: 0.8489 0.8460 0.9007  4 Bi 2.19-2.41
O: 0.8513 0.3889 0.9969  1 Al 1.92, 1 Sb 1.99
O: 0.8513 0.6111 0.4969  1 Al 1.92, 1 Sb 1.99
O: 0.8527 0.1427 0.6100  4 Bi 2.18-2.41
O: 0.8527 0.8573 0.1100  4 Bi 2.18-2.41
O: 0.8972 0.2498 0.2149  2 Sb 2.00-2.03
O: 0.8972 0.7502 0.7149  2 Sb 2.00-2.03

Properties
Raw total energy in eV/atom: -6.586
Density in Mg/m³: 8.49
Formation energy without anion corrections in meV/atom: -1657
Space group: Pc, No. 7
Magnetization in μB per formula unit: 0.00

Record 4
Sr6Al12Bi2O27: optimized geometry, PBEsol.

a b c (Å): 10.5198 10.5198 10.5198
angles (deg): 115.06 115.06 115.06
Closest atoms and distances in Å follow each position.
Atoms (fractional coordinates):
Sr: 0.0118 0.4018 0.0421  8 O 2.52-2.74
Sr: 0.0421 0.0118 0.4018  8 O 2.52-2.74
Sr: 0.0822 0.4388 0.4790  7 O 2.46-2.69
Sr: 0.4018 0.0421 0.0118  8 O 2.52-2.74
Sr: 0.4388 0.4790 0.0822  7 O 2.46-2.69
Sr: 0.4790 0.0822 0.4388  7 O 2.46-2.69
Al: 0.2196 0.6779 0.9796  4 O 1.75-1.76
Al: 0.2569 0.7990 0.4985  4 O 1.75-1.77
Al: 0.4985 0.2569 0.7990  4 O 1.75-1.77
Al: 0.5816 0.9037 0.8580  4 O 1.75-1.79
Al: 0.5860 0.6284 0.9007  4 O 1.75-1.80
Al: 0.6284 0.9007 0.5860  4 O 1.75-1.80
Al: 0.6779 0.9796 0.2196  4 O 1.75-1.76
Al: 0.7990 0.4985 0.2569  4 O 1.75-1.77
Al: 0.8580 0.5816 0.9037  4 O 1.75-1.79
Al: 0.9007 0.5860 0.6284  4 O 1.75-1.80
Al: 0.9037 0.8580 0.5816  4 O 1.75-1.79
Al: 0.9796 0.2196 0.6779  4 O 1.75-1.76
Bi: 0.0126 0.0126 0.0126  3 O 2.23
Bi: 0.4377 0.4377 0.4377  3 O 2.20
O: 0.9995 0.5462 0.2936  2 Al 1.76-1.77
O: 0.0124 0.8351 0.7415  2 Al 1.77-1.80
O: 0.0662 0.1117 0.7032  2 Al 1.75-1.76
O: 0.1117 0.7032 0.0662  2 Al 1.75-1.76
O: 0.1174 0.6372 0.7681  2 Al 1.75-1.76
O: 0.1383 0.2248 0.3201  2 Bi 2.20-2.23
O: 0.1852 0.4779 0.9265  2 Al 1.75-1.76
O: 0.2248 0.3201 0.1383  2 Bi 2.20-2.23
O: 0.2936 0.9995 0.5462  2 Al 1.76-1.77
O: 0.3201 0.1383 0.2248  2 Bi 2.20-2.23
O: 0.3598 0.8438 0.7126  2 Al 1.75-1.76
O: 0.3701 0.7673 0.4206  2 Al 1.75-1.77
O: 0.4206 0.3701 0.7673  2 Al 1.75-1.77
O: 0.4779 0.9265 0.1852  2 Al 1.75-1.76
O: 0.4847 0.6611 0.7491  2 Al 1.77-1.79
O: 0.5462 0.2936 0.9995  2 Al 1.76-1.77
O: 0.6372 0.7681 0.1174  2 Al 1.75-1.76
O: 0.6611 0.7491 0.4847  2 Al 1.77-1.79
O: 0.7032 0.0662 0.1117  2 Al 1.75-1.76
O: 0.7126 0.3598 0.8438  2 Al 1.75-1.76
O: 0.7415 0.0124 0.8351  2 Al 1.77-1.80
O: 0.7491 0.4847 0.6611  2 Al 1.77-1.79
O: 0.7673 0.4206 0.3701  2 Al 1.75-1.77
O: 0.7681 0.1174 0.6372  2 Al 1.75-1.76
O: 0.8351 0.7415 0.0124  2 Al 1.77-1.80
O: 0.8438 0.7126 0.3598  2 Al 1.75-1.76
O: 0.9265 0.1852 0.4779  2 Al 1.75-1.76

Properties
Raw total energy in eV/atom: -7.365
Density in Mg/m³: 4.36
Formation energy without anion corrections in meV/atom: -2887
Space group: R3, No. 146
Magnetization in μB per formula unit: 0.00

Record 5
AlBi3P: optimized geometry, PBEsol.

a b c (Å): 5.3527 5.3527 5.3527
angles (deg): 90.00 90.00 90.00
Closest atoms and distances in Å follow each position.
Atoms (fractional coordinates):
Al: 0.0000 0.0000 0.0000  12 Bi 3.78
Bi: 0.0000 0.5000 0.5000  2 P 2.68
Bi: 0.5000 0.0000 0.5000  2 P 2.68
Bi: 0.5000 0.5000 0.0000  2 P 2.68
P: 0.5000 0.5000 0.5000  6 Bi 2.68

Properties
Raw total energy in eV/atom: -3.930
E_form in kJ/mol of atoms: 60
Density in Mg/m³: 7.42
Space group: Pm-3m, No. 221
Magnetization in μB per formula unit: 0.00

Record 6
Al3BiPb: optimized geometry, PBEsol.

a b c (Å): 5.2671 5.2671 5.2671
angles (deg): 90.00 90.00 90.00
Closest atoms and distances in Å follow each position.
Atoms (fractional coordinates):
Al: 0.0000 0.0000 0.5000  2 Pb 2.63
Al: 0.0000 0.5000 0.0000  2 Pb 2.63
Al: 0.5000 0.0000 0.0000  2 Pb 2.63
Bi: 0.5000 0.5000 0.5000  12 Al 3.72
Pb: 0.0000 0.0000 0.0000  6 Al 2.63

Properties
Raw total energy in eV/atom: -3.265
E_form in kJ/mol of atoms: 82
Density in Mg/m³: 5.65
Space group: Pm-3m, No. 221
Magnetization in μB per formula unit: 0.00

Record 7
AlSn2BiPb: optimized geometry, PBEsol.

a b c (Å): 5.7310 5.7310 5.3969
angles (deg): 90.00 90.00 90.00
Closest atoms and distances in Å follow each position.
Atoms (fractional coordinates):
Al: 0.0000 0.0000 0.0000  2 Bi 2.70
Sn: 0.0000 0.5000 0.5000  2 Bi 2.87
Sn: 0.5000 0.0000 0.5000  2 Bi 2.87
Bi: 0.0000 0.0000 0.5000  2 Al 2.70, 4 Sn 2.87
Pb: 0.5000 0.5000 0.0000  8 Sn 3.94, 4 Al 4.05

Properties
Raw total energy in eV/atom: -3.384
E_form in kJ/mol of atoms: 77
Density in Mg/m³: 6.38
Space group: P4/mmm, No. 123
Magnetization in μB per formula unit: 0.00

Record 8
AlBiPdSe2: optimized geometry, PBEsol.

a b c (Å): 4.8253 4.8253 5.4357
angles (deg): 90.00 90.00 90.00
Closest atoms and distances in Å follow each position.
Atoms (fractional coordinates):
Al: 0.0000 0.0000 0.0000  4 Bi 3.41, 8 Se 3.63
Bi: 0.5000 0.5000 0.0000  2 Pd 2.72
Pd: 0.5000 0.5000 0.5000  4 Se 2.41
Se: 0.0000 0.5000 0.5000  2 Pd 2.41
Se: 0.5000 0.0000 0.5000  2 Pd 2.41

Properties
Raw total energy in eV/atom: -4.057
Density in Mg/m³: 6.56
Formation energy without anion corrections in meV/atom: 351
Space group: P4/mmm, No. 123
Magnetization in μB per formula unit: 0.00

Repeat the fourth record exactly.
Sr6Al12Bi2O27: optimized geometry, PBEsol.

a b c (Å): 10.5198 10.5198 10.5198
angles (deg): 115.06 115.06 115.06
Closest atoms and distances in Å follow each position.
Atoms (fractional coordinates):
Sr: 0.0118 0.4018 0.0421  8 O 2.52-2.74
Sr: 0.0421 0.0118 0.4018  8 O 2.52-2.74
Sr: 0.0822 0.4388 0.4790  7 O 2.46-2.69
Sr: 0.4018 0.0421 0.0118  8 O 2.52-2.74
Sr: 0.4388 0.4790 0.0822  7 O 2.46-2.69
Sr: 0.4790 0.0822 0.4388  7 O 2.46-2.69
Al: 0.2196 0.6779 0.9796  4 O 1.75-1.76
Al: 0.2569 0.7990 0.4985  4 O 1.75-1.77
Al: 0.4985 0.2569 0.7990  4 O 1.75-1.77
Al: 0.5816 0.9037 0.8580  4 O 1.75-1.79
Al: 0.5860 0.6284 0.9007  4 O 1.75-1.80
Al: 0.6284 0.9007 0.5860  4 O 1.75-1.80
Al: 0.6779 0.9796 0.2196  4 O 1.75-1.76
Al: 0.7990 0.4985 0.2569  4 O 1.75-1.77
Al: 0.8580 0.5816 0.9037  4 O 1.75-1.79
Al: 0.9007 0.5860 0.6284  4 O 1.75-1.80
Al: 0.9037 0.8580 0.5816  4 O 1.75-1.79
Al: 0.9796 0.2196 0.6779  4 O 1.75-1.76
Bi: 0.0126 0.0126 0.0126  3 O 2.23
Bi: 0.4377 0.4377 0.4377  3 O 2.20
O: 0.9995 0.5462 0.2936  2 Al 1.76-1.77
O: 0.0124 0.8351 0.7415  2 Al 1.77-1.80
O: 0.0662 0.1117 0.7032  2 Al 1.75-1.76
O: 0.1117 0.7032 0.0662  2 Al 1.75-1.76
O: 0.1174 0.6372 0.7681  2 Al 1.75-1.76
O: 0.1383 0.2248 0.3201  2 Bi 2.20-2.23
O: 0.1852 0.4779 0.9265  2 Al 1.75-1.76
O: 0.2248 0.3201 0.1383  2 Bi 2.20-2.23
O: 0.2936 0.9995 0.5462  2 Al 1.76-1.77
O: 0.3201 0.1383 0.2248  2 Bi 2.20-2.23
O: 0.3598 0.8438 0.7126  2 Al 1.75-1.76
O: 0.3701 0.7673 0.4206  2 Al 1.75-1.77
O: 0.4206 0.3701 0.7673  2 Al 1.75-1.77
O: 0.4779 0.9265 0.1852  2 Al 1.75-1.76
O: 0.4847 0.6611 0.7491  2 Al 1.77-1.79
O: 0.5462 0.2936 0.9995  2 Al 1.76-1.77
O: 0.6372 0.7681 0.1174  2 Al 1.75-1.76
O: 0.6611 0.7491 0.4847  2 Al 1.77-1.79
O: 0.7032 0.0662 0.1117  2 Al 1.75-1.76
O: 0.7126 0.3598 0.8438  2 Al 1.75-1.76
O: 0.7415 0.0124 0.8351  2 Al 1.77-1.80
O: 0.7491 0.4847 0.6611  2 Al 1.77-1.79
O: 0.7673 0.4206 0.3701  2 Al 1.75-1.77
O: 0.7681 0.1174 0.6372  2 Al 1.75-1.76
O: 0.8351 0.7415 0.0124  2 Al 1.77-1.80
O: 0.8438 0.7126 0.3598  2 Al 1.75-1.76
O: 0.9265 0.1852 0.4779  2 Al 1.75-1.76

Properties
Raw total energy in eV/atom: -7.365
Density in Mg/m³: 4.36
Formation energy without anion corrections in meV/atom: -2887
Space group: R3, No. 146
Magnetization in μB per formula unit: 0.00